Record 1
K4ClF3 (PBE, relaxed); magnetic moment = 0.00 μB/cell; uncorrected formation energy = -2.474 eV per atom
1.0
3.885 0.000 0.000
-1.942 3.364 0.000
0.000 0.000 13.793
K Cl F
4 1 3
Direct
0.333 0.667 0.349 K
0.333 0.667 0.883 K
0.667 0.333 0.117 K
0.667 0.333 0.651 K
0.000 0.000 0.500 Cl
0.000 0.000 0.000 F
0.000 0.000 0.234 F
0.000 0.000 0.766 F

Record 2
Dy2ThTc (PBE, relaxed); magnetic moment = 0.01 μB/cell; ΔE to the lowest computed polymorph = 244 meV per atom
1.0
3.472 0.000 0.000
0.000 3.472 0.000
0.000 0.000 8.745
Dy Th Tc
2 1 1
Direct
0.000 0.000 0.189 Dy
0.000 0.000 0.811 Dy
0.500 0.500 0.500 Th
0.500 0.500 0.000 Tc

Record 3
LiCaSnN2 (PBE, relaxed); magnetic moment = 0.00 μB/cell; uncorrected formation energy = -0.331 eV per atom
1.0
5.789 -1.756 0.000
5.789 1.756 0.000
-1.466 0.000 6.921
Li Ca Sn N
2 2 2 4
Direct
0.187 0.187 0.048 Li
0.813 0.813 0.952 Li
0.167 0.167 0.653 Ca
0.833 0.833 0.347 Ca
0.446 0.446 0.771 Sn
0.554 0.554 0.229 Sn
0.166 0.166 0.318 N
0.378 0.378 0.068 N
0.622 0.622 0.932 N
0.834 0.834 0.682 N

Record 4
CdTeAs2 (PBE, relaxed); magnetic moment = 0.00 μB/cell; uncorrected formation energy = 0.336 eV per atom; ΔE to the lowest computed polymorph = 392 meV per atom
1.0
1.971 -2.271 0.000
1.971 2.271 0.000
0.000 0.000 10.617
Cd Te As
1 1 2
Direct
0.000 0.000 0.000 Cd
0.000 0.000 0.500 Te
0.500 0.500 0.207 As
0.500 0.500 0.793 As

Record 5
SrSnPbBr6 (PBE, relaxed); magnetic moment = 0.00 μB/cell; uncorrected formation energy = -1.253 eV per atom
1.0
7.135 0.000 0.000
0.000 7.135 0.000
0.000 0.000 13.833
Sr Sn Pb Br
2 2 2 12
Direct
0.000 0.000 0.000 Sr
0.500 0.500 0.500 Sr
0.000 0.000 0.667 Sn
0.500 0.500 0.167 Sn
0.000 0.000 0.332 Pb
0.500 0.500 0.832 Pb
0.195 0.195 0.502 Br
0.196 0.196 0.830 Br
0.201 0.201 0.168 Br
0.299 0.701 0.668 Br
0.304 0.696 0.330 Br
0.305 0.695 0.002 Br
0.695 0.305 0.002 Br
0.696 0.304 0.330 Br
0.701 0.299 0.668 Br
0.799 0.799 0.168 Br
0.804 0.804 0.830 Br
0.805 0.805 0.502 Br

Record 6
Na10Tl3In3 (PBE, relaxed); magnetic moment = 0.00 μB/cell; VASP energy = -1.8336 eV/atom
1.0
9.630 0.000 0.000
-4.815 8.339 0.000
0.000 0.000 6.023
Na Tl In
10 3 3
Direct
0.000 0.244 0.000 Na
0.000 0.758 0.500 Na
0.242 0.242 0.500 Na
0.244 0.000 0.000 Na
0.333 0.667 0.251 Na
0.333 0.667 0.749 Na
0.667 0.333 0.251 Na
0.667 0.333 0.749 Na
0.756 0.756 0.000 Na
0.758 0.000 0.500 Na
0.000 0.594 0.000 Tl
0.406 0.406 0.000 Tl
0.594 0.000 0.000 Tl
0.000 0.405 0.500 In
0.405 0.000 0.500 In
0.595 0.595 0.500 In

Record 7
Zr4SnH (PBE, relaxed); magnetic moment = 0.00 μB/cell; VASP energy = -7.1190 eV/atom
1.0
3.877 -6.973 0.000
3.877 6.973 0.000
-3.143 0.000 4.565
Zr Sn H
8 2 2
Direct
0.091 0.653 0.875 Zr
0.157 0.278 0.614 Zr
0.278 0.157 0.114 Zr
0.347 0.909 0.625 Zr
0.653 0.091 0.375 Zr
0.722 0.843 0.886 Zr
0.843 0.722 0.386 Zr
0.909 0.347 0.125 Zr
0.395 0.605 0.250 Sn
0.605 0.395 0.750 Sn
0.125 0.875 0.750 H
0.875 0.125 0.250 H

Record 8
NaReW (PBE, relaxed); magnetic moment = 0.00 μB/cell; ΔE to the lowest computed polymorph = 176 meV per atom
1.0
8.078 0.000 0.000
0.000 3.036 0.000
-1.258 0.000 4.352
Na Re W
2 2 2
Direct
0.000 0.243 0.000 Na
0.000 0.757 0.500 Na
0.353 0.276 0.677 Re
0.353 0.724 0.177 Re
0.631 0.254 0.315 W
0.631 0.746 0.815 W